[1]
An optimized crystal structure of BH4Br2, computed with PBE.

a b c (Å): 5.6042 5.6042 5.7391
angles (deg): 119.92 119.92 60.89
Last column: nearest neighbours and their distance in Å.
Fractional positions:
B 0.0000 0.0000 0.0000  4 H 1.18-1.26
H 0.1426 0.1426 0.0436  2 H 1.13, 1 B 1.25
H 0.2579 0.9023 0.0067  1 H 1.13, 1 B 1.26
H 0.8645 0.8645 0.7788  1 B 1.18
H 0.9023 0.2579 0.0067  1 H 1.13, 1 B 1.26
Br 0.2339 0.7326 0.3402  1 B 2.50, 1 H 2.60
Br 0.7326 0.2339 0.3402  1 B 2.50, 1 H 2.60

N(E_F): 0.45 states/eV/cell
SG: Cm (8)
E: -3.17 eV/atom
Total magnetic moment: 0.000 μB per atom


[2]
An optimized crystal structure of B2H4Br, computed with PBE.

a b c (Å): 5.8415 5.8850 6.7433
angles (deg): 77.47 69.46 84.19
Last column: nearest neighbours and their distance in Å.
Fractional positions:
B 0.0000 0.0000 0.0000  1 H 1.19
B 0.0481 0.1939 0.7551  3 H 1.21-1.31
B 0.1797 0.3592 0.4862  2 H 1.20
B 0.3600 0.3016 0.6493  2 H 1.20-1.29
H 0.0770 0.9667 0.7951  2 B 1.31-1.35
H 0.0881 0.5490 0.4562  1 B 1.20
H 0.1607 0.9487 0.0727  1 B 1.19
H 0.1827 0.2233 0.3754  1 B 1.20
H 0.4201 0.3863 0.4444  2 B 1.29-1.35
H 0.4923 0.1340 0.6623  1 B 1.20
H 0.8685 0.2403 0.7034  1 B 1.21
H 0.9867 0.2373 0.9483  2 B 1.30-1.37
Br 0.4027 0.5456 0.7968  1 B 1.99
Br 0.6799 0.8739 0.1634  1 B 1.93

Relative energy among the computed polymorphs: 0 meV per atom
N(E_F): 0.00 states/eV/cell
SG: P1 (1)
E: -4.19 eV/atom
Total magnetic moment: 0.000 μB per atom


[3]
An optimized crystal structure of BH3Br, computed with PBE.

a b c (Å): 3.7524 3.7524 3.7524
angles (deg): 90.00 90.00 90.00
Last column: nearest neighbours and their distance in Å.
Fractional positions:
B 0.0000 0.0000 0.0000  12 H 2.65
H 0.0000 0.5000 0.5000  2 Br 1.88
H 0.5000 0.0000 0.5000  2 Br 1.88
H 0.5000 0.5000 0.0000  2 Br 1.88
Br 0.5000 0.5000 0.5000  6 H 1.88

Relative energy among the computed polymorphs: 1939 meV per atom
N(E_F): 1.28 states/eV/cell
SG: Pm-3m (221)
E: -1.93 eV/atom
Total magnetic moment: 0.000 μB per atom